{
  "formula": "YTm3Pb5",
  "functional": "PBE",
  "state": "optimized geometry",
  "lattice_angstrom": [[9.4788, 0.0000, 0.0000], [-4.7394, 8.2089, 0.0000], [0.0000, 0.0000, 6.5273]],
  "species": ["Y", "Y", "Tm", "Tm", "Tm", "Tm", "Tm", "Tm", "Pb", "Pb", "Pb", "Pb", "Pb", "Pb", "Pb", "Pb", "Pb", "Pb"],
  "frac_coords": [[0.0000, 0.0000, 0.0000], [0.0000, 0.0000, 0.5000], [0.0000, 0.3799, 0.2500], [0.0000, 0.6201, 0.7500], [0.3799, 0.0000, 0.2500], [0.3799, 0.3799, 0.7500], [0.6201, 0.0000, 0.7500], [0.6201, 0.6201, 0.2500], [0.0000, 0.2912, 0.7500], [0.0000, 0.7088, 0.2500], [0.2912, 0.0000, 0.7500], [0.2912, 0.2912, 0.2500], [0.3333, 0.6667, 0.0000], [0.3333, 0.6667, 0.5000], [0.6667, 0.3333, 0.0000], [0.6667, 0.3333, 0.5000], [0.7088, 0.0000, 0.2500], [0.7088, 0.7088, 0.7500]],
  "rho_g_cm3": 10.67,
  "delta_e_f_ev_per_atom": -0.358,
  "e_tot_ev_per_atom": -4.63,
  "dos_at_fermi_per_ev_cell": 16.45
}

{
  "formula": "YTm3Pb4",
  "functional": "PBE",
  "state": "optimized geometry",
  "lattice_angstrom": [[11.0998, 0.0000, 0.0000], [0.0000, 6.3618, 0.0000], [0.0000, 0.0000, 6.3607]],
  "species": ["Y", "Y", "Tm", "Tm", "Tm", "Tm", "Tm", "Tm", "Pb", "Pb", "Pb", "Pb", "Pb", "Pb", "Pb", "Pb"],
  "frac_coords": [[0.0000, 0.9997, 0.0000], [0.5000, 0.0003, 0.5000], [0.0000, 0.4997, 0.5004], [0.2499, 0.2529, 0.2499], [0.2501, 0.7471, 0.7499], [0.5000, 0.5003, 0.0004], [0.7501, 0.2529, 0.2499], [0.7499, 0.7471, 0.7499], [0.0000, 0.9995, 0.5002], [0.0000, 0.4997, 0.0004], [0.2499, 0.2481, 0.7498], [0.2501, 0.7519, 0.2498], [0.5000, 0.0005, 0.0002], [0.5000, 0.5003, 0.5004], [0.7501, 0.2481, 0.7498], [0.7499, 0.7519, 0.2498]],
  "rho_g_cm3": 10.53,
  "delta_e_f_ev_per_atom": -0.413,
  "e_tot_ev_per_atom": -4.75,
  "dos_at_fermi_per_ev_cell": 9.97
}

{
  "formula": "Y5TmPb4",
  "functional": "PBE",
  "state": "optimized geometry",
  "lattice_angstrom": [[8.8192, -1.8383, 0.0000], [8.8192, 1.8383, 0.0000], [-0.3204, 0.0000, 9.6864]],
  "species": ["Y", "Y", "Y", "Y", "Y", "Tm", "Pb", "Pb", "Pb", "Pb"],
  "frac_coords": [[0.0000, 0.0000, 0.0000], [0.3095, 0.3095, 0.1125], [0.3460, 0.3460, 0.7398], [0.6540, 0.6540, 0.2602], [0.6905, 0.6905, 0.8875], [0.0000, 0.0000, 0.5000], [0.1814, 0.1814, 0.5683], [0.4743, 0.4743, 0.2515], [0.5257, 0.5257, 0.7485], [0.8186, 0.8186, 0.4317]],
  "rho_g_cm3": 7.63,
  "delta_e_f_ev_per_atom": -0.227,
  "e_tot_ev_per_atom": -5.39,
  "dos_at_fermi_per_ev_cell": 9.36
}

{
  "formula": "YTm2Pb9",
  "functional": "PBE",
  "state": "optimized geometry",
  "lattice_angstrom": [[4.8697, 0.0000, 0.0000], [0.0000, 4.8697, 0.0000], [0.0000, 0.0000, 14.6173]],
  "species": ["Y", "Tm", "Tm", "Pb", "Pb", "Pb", "Pb", "Pb", "Pb", "Pb", "Pb", "Pb"],
  "frac_coords": [[0.0000, 0.0000, 0.0000], [0.0000, 0.0000, 0.3337], [0.0000, 0.0000, 0.6663], [0.0000, 0.5000, 0.1684], [0.0000, 0.5000, 0.5000], [0.0000, 0.5000, 0.8316], [0.5000, 0.0000, 0.1684], [0.5000, 0.0000, 0.5000], [0.5000, 0.0000, 0.8316], [0.5000, 0.5000, 0.0000], [0.5000, 0.5000, 0.3343], [0.5000, 0.5000, 0.6657]],
  "rho_g_cm3": 10.98,
  "delta_e_f_ev_per_atom": -0.242,
  "e_tot_ev_per_atom": -4.31,
  "dos_at_fermi_per_ev_cell": 7.42
}

{
  "formula": "YTm3Pb3",
  "functional": "PBE",
  "state": "optimized geometry",
  "lattice_angstrom": [[9.3174, 0.0000, 0.0000], [0.0000, 9.3174, 0.0000], [0.0000, 0.0000, 9.3174]],
  "species": ["Y", "Y", "Y", "Y", "Tm", "Tm", "Tm", "Tm", "Tm", "Tm", "Tm", "Tm", "Tm", "Tm", "Tm", "Tm", "Pb", "Pb", "Pb", "Pb", "Pb", "Pb", "Pb", "Pb", "Pb", "Pb", "Pb", "Pb"],
  "frac_coords": [[0.0698, 0.4302, 0.5698], [0.4302, 0.5698, 0.0698], [0.5698, 0.0698, 0.4302], [0.9302, 0.9302, 0.9302], [0.0727, 0.5727, 0.9273], [0.1793, 0.1793, 0.1793], [0.1787, 0.8213, 0.3213], [0.3213, 0.1787, 0.8213], [0.3207, 0.8207, 0.6793], [0.4273, 0.4273, 0.4273], [0.5727, 0.9273, 0.0727], [0.6793, 0.3207, 0.8207], [0.6787, 0.6787, 0.6787], [0.8213, 0.3213, 0.1787], [0.8207, 0.6793, 0.3207], [0.9273, 0.0727, 0.5727], [0.0004, 0.2527, 0.8756], [0.9996, 0.7527, 0.6244], [0.1244, 0.5004, 0.2473], [0.2473, 0.1244, 0.5004], [0.2527, 0.8756, 0.0004], [0.3756, 0.4996, 0.7473], [0.5004, 0.2473, 0.1244], [0.4996, 0.7473, 0.3756], [0.6244, 0.9996, 0.7527], [0.7473, 0.3756, 0.4996], [0.7527, 0.6244, 0.9996], [0.8756, 0.0004, 0.2527]],
  "rho_g_cm3": 10.00,
  "e_above_lowest_polymorph_mev_per_atom": 0,
  "delta_e_f_ev_per_atom": -0.507,
  "e_tot_ev_per_atom": -4.94,
  "dos_at_fermi_per_ev_cell": 5.72
}

{
  "formula": "YTmPb2",
  "functional": "PBE",
  "state": "optimized geometry",
  "lattice_angstrom": [[6.3133, 0.0000, 0.0000], [0.0000, 6.3138, 0.0000], [-2.9290, 0.0000, 11.6047]],
  "species": ["Y", "Y", "Y", "Y", "Tm", "Tm", "Tm", "Tm", "Pb", "Pb", "Pb", "Pb", "Pb", "Pb", "Pb", "Pb"],
  "frac_coords": [[0.1862, 0.1267, 0.1289], [0.1862, 0.8733, 0.6289], [0.8138, 0.1267, 0.3711], [0.8138, 0.8733, 0.8711], [0.3185, 0.3723, 0.8736], [0.3185, 0.6277, 0.3736], [0.6815, 0.3723, 0.6264], [0.6815, 0.6277, 0.1264], [0.1713, 0.3734, 0.6046], [0.1713, 0.6266, 0.1046], [0.3272, 0.1292, 0.3995], [0.3272, 0.8708, 0.8995], [0.6728, 0.1292, 0.1005], [0.6728, 0.8708, 0.6005], [0.8287, 0.3734, 0.8954], [0.8287, 0.6266, 0.3954]],
  "rho_g_cm3": 9.65,
  "delta_e_f_ev_per_atom": -0.445,
  "e_tot_ev_per_atom": -5.03,
  "dos_at_fermi_per_ev_cell": 14.26
}